First-principles (PBE) data for an optimized crystal structure of TbHoLuZr, as listed in the Alexandria database.

## Properties
SG: No. 216
Calculated formation energy in eV per atom: 0.206

Unit cell a=5.455 b=5.455 c=5.455 alpha=60.00 beta=60.00 gamma=60.00
Atoms (fractional coordinates):
Tb (0.000, 0.000, 0.000)
Ho (0.750, 0.750, 0.750)
Lu (0.250, 0.250, 0.250)
Zr (0.500, 0.500, 0.500)

---

First-principles (PBE) data for an optimized crystal structure of Ba5TcN6, as listed in the Alexandria database.

## Properties
Formation energy without anion corrections in eV/f.u.: -1.4
SG: No. 12

Unit cell a=6.791 b=6.791 c=6.465 alpha=98.38 beta=98.38 gamma=122.40
Atoms (fractional coordinates):
Ba (0.000, 0.000, 0.000)
Ba (0.161, 0.839, 0.500)
Ba (0.348, 0.652, 0.000)
Ba (0.652, 0.348, 0.000)
Ba (0.839, 0.161, 0.500)
Tc (0.500, 0.500, 0.500)
N (0.197, 0.435, 0.316)
N (0.278, 0.278, 0.735)
N (0.435, 0.197, 0.316)
N (0.565, 0.803, 0.684)
N (0.722, 0.722, 0.265)
N (0.803, 0.565, 0.684)

---

First-principles (PBE) data for an optimized crystal structure of BRh4, as listed in the Alexandria database.

## Properties
SG: No. 68
E above lowest polymorph in meV per atom: 0
Calculated formation energy in eV per atom: -0.039

Unit cell a=5.556 b=5.556 c=5.029 alpha=90.00 beta=90.00 gamma=122.19
Atoms (fractional coordinates):
B (0.250, 0.750, 0.750)
B (0.750, 0.250, 0.250)
Rh (0.016, 0.256, 0.532)
Rh (0.244, 0.484, 0.032)
Rh (0.256, 0.016, 0.032)
Rh (0.484, 0.244, 0.532)
Rh (0.516, 0.756, 0.468)
Rh (0.744, 0.984, 0.968)
Rh (0.756, 0.516, 0.968)
Rh (0.984, 0.744, 0.468)

---

First-principles (PBE) data for an optimized crystal structure of La2PmHo4, as listed in the Alexandria database.

## Properties
SG: No. 139
E above lowest polymorph in meV per atom: 0
Calculated formation energy in eV per atom: 0.248

Unit cell a=11.781 b=11.781 c=11.781 alpha=157.39 beta=157.39 gamma=32.19
Atoms (fractional coordinates):
La (0.099, 0.099, 0.000)
La (0.901, 0.901, 0.000)
Pm (0.500, 0.500, 0.000)
Ho (0.250, 0.750, 0.500)
Ho (0.359, 0.359, 0.000)
Ho (0.641, 0.641, 0.000)
Ho (0.750, 0.250, 0.500)

---

First-principles (PBE) data for an optimized crystal structure of ZrReP, as listed in the Alexandria database.

## Properties
SG: No. 216
Calculated formation energy in eV per atom: -0.133

Unit cell a=4.203 b=4.203 c=4.203 alpha=60.00 beta=60.00 gamma=60.00
Atoms (fractional coordinates):
Zr (0.000, 0.000, 0.000)
Re (0.500, 0.500, 0.500)
P (0.250, 0.250, 0.250)

---

First-principles (PBE) data for an optimized crystal structure of Cu2ReAg, as listed in the Alexandria database.

## Properties
SG: No. 12
E above lowest polymorph in meV per atom: 199
Calculated formation energy in eV per atom: 0.461

Unit cell a=4.558 b=4.558 c=5.119 alpha=96.56 beta=96.56 gamma=33.28
Atoms (fractional coordinates):
Cu (0.247, 0.247, 0.225)
Cu (0.753, 0.753, 0.775)
Re (0.500, 0.500, 0.000)
Ag (0.000, 0.000, 0.500)